Record 1
VASP calculation (PBE) on Ac8CuPt3Br4 after structural relaxation.

POSCAR file:
```
Ac8CuPt3Br4
1.0
7.738 -4.468 0.000
7.738 4.468 0.000
-5.169 0.000 8.214
Ac Cu Pt Br
8 1 3 4
Direct
0.228 0.734 0.695 Ac
0.233 0.233 0.697 Ac
0.266 0.266 0.305 Ac
0.266 0.772 0.305 Ac
0.734 0.228 0.695 Ac
0.734 0.734 0.695 Ac
0.767 0.767 0.303 Ac
0.772 0.266 0.305 Ac
0.500 0.500 0.500 Cu
0.000 0.000 0.500 Pt
0.000 0.500 0.500 Pt
0.500 0.000 0.500 Pt
0.000 0.000 0.000 Br
0.000 0.500 0.000 Br
0.500 0.000 0.000 Br
0.500 0.500 0.000 Br
```

Computed properties:
For the formation energy without anion corrections, the calculation gives -1179.7 meV/atom. The space-group type is C2/m. Its crystal system is monoclinic. The uncorrected energy is -5.041 eV/atom.

---

Record 2
VASP calculation (PBE) on RbAcCu2Br6 after structural relaxation.

POSCAR file:
```
RbAcCu2Br6
1.0
5.266 -7.414 0.000
5.266 7.414 0.000
-2.766 0.000 9.344
Rb Ac Cu Br
2 2 4 12
Direct
0.132 0.868 0.750 Rb
0.868 0.132 0.250 Rb
0.442 0.558 0.250 Ac
0.558 0.442 0.750 Ac
0.124 0.386 0.739 Cu
0.386 0.124 0.239 Cu
0.614 0.876 0.761 Cu
0.876 0.614 0.261 Cu
0.089 0.526 0.245 Br
0.195 0.208 0.591 Br
0.208 0.195 0.091 Br
0.351 0.585 0.928 Br
0.415 0.649 0.572 Br
0.474 0.911 0.255 Br
0.526 0.089 0.745 Br
0.585 0.351 0.428 Br
0.649 0.415 0.072 Br
0.792 0.805 0.909 Br
0.805 0.792 0.409 Br
0.911 0.474 0.755 Br
```

Computed properties:
For the formation energy without anion corrections, the calculation gives -1242.3 meV/atom. The space-group type is C2/c. Its crystal system is monoclinic. The uncorrected energy is -3.573 eV/atom.

---

Record 3
VASP calculation (PBE) on Ac6CuRh2Br3 after structural relaxation.

POSCAR file:
```
Ac6CuRh2Br3
1.0
3.801 -6.583 0.000
3.801 6.583 0.000
-2.534 0.000 8.279
Ac Cu Rh Br
6 1 2 3
Direct
0.092 0.435 0.805 Ac
0.222 0.222 0.195 Ac
0.435 0.092 0.805 Ac
0.565 0.908 0.195 Ac
0.778 0.778 0.805 Ac
0.908 0.565 0.195 Ac
0.500 0.500 0.000 Cu
0.167 0.833 0.000 Rh
0.833 0.167 0.000 Rh
0.000 0.000 0.500 Br
0.333 0.667 0.500 Br
0.667 0.333 0.500 Br
```

Computed properties:
For the formation energy without anion corrections, the calculation gives -1006.5 meV/atom. The space-group type is C2/m. Its crystal system is monoclinic. The uncorrected energy is -5.046 eV/atom.

---

Record 4
VASP calculation (PBE) on Ac8CuRu3Br4 after structural relaxation.

POSCAR file:
```
Ac8CuRu3Br4
1.0
4.330 2.500 8.310
-4.330 2.500 8.310
0.000 -4.999 8.310
Ac Cu Ru Br
8 1 3 4
Direct
0.220 0.738 0.738 Ac
0.232 0.232 0.232 Ac
0.262 0.262 0.780 Ac
0.262 0.780 0.262 Ac
0.738 0.220 0.738 Ac
0.738 0.738 0.220 Ac
0.768 0.768 0.768 Ac
0.780 0.262 0.262 Ac
0.500 0.500 0.500 Cu
0.000 0.000 0.500 Ru
0.000 0.500 0.000 Ru
0.500 0.000 0.000 Ru
0.000 0.000 0.000 Br
0.000 0.500 0.500 Br
0.500 0.000 0.500 Br
0.500 0.500 0.000 Br
```

Computed properties:
For the formation energy without anion corrections, the calculation gives -842.2 meV/atom. The space-group type is R-3m. Its crystal system is trigonal. The uncorrected energy is -5.310 eV/atom.

---

Record 5
VASP calculation (PBE) on Ac8CuRu3Br3 after structural relaxation.

POSCAR file:
```
Ac8CuRu3Br3
1.0
4.350 2.512 8.146
-4.350 2.512 8.146
0.000 -5.023 8.146
Ac Cu Ru Br
8 1 3 3
Direct
0.220 0.739 0.739 Ac
0.233 0.233 0.233 Ac
0.261 0.261 0.780 Ac
0.261 0.780 0.261 Ac
0.739 0.220 0.739 Ac
0.739 0.739 0.220 Ac
0.767 0.767 0.767 Ac
0.780 0.261 0.261 Ac
0.500 0.500 0.500 Cu
0.000 0.000 0.500 Ru
0.000 0.500 0.000 Ru
0.500 0.000 0.000 Ru
0.000 0.500 0.500 Br
0.500 0.000 0.500 Br
0.500 0.500 0.000 Br
```

Computed properties:
For the formation energy without anion corrections, the calculation gives -677.0 meV/atom. The space-group type is R-3m. Its crystal system is trigonal. The uncorrected energy is -5.331 eV/atom.

---

Record 6
VASP calculation (PBE) on Ac8CuSi3Br4 after structural relaxation.

POSCAR file:
```
Ac8CuSi3Br4
1.0
4.563 2.635 7.563
-4.563 2.635 7.563
0.000 -5.269 7.563
Ac Cu Si Br
8 1 3 4
Direct
0.239 0.239 0.239 Ac
0.240 0.738 0.738 Ac
0.262 0.262 0.760 Ac
0.262 0.760 0.262 Ac
0.738 0.240 0.738 Ac
0.738 0.738 0.240 Ac
0.760 0.262 0.262 Ac
0.761 0.761 0.761 Ac
0.500 0.500 0.500 Cu
0.000 0.000 0.500 Si
0.000 0.500 0.000 Si
0.500 0.000 0.000 Si
0.000 0.000 0.000 Br
0.000 0.500 0.500 Br
0.500 0.000 0.500 Br
0.500 0.500 0.000 Br
```

Computed properties:
For the formation energy without anion corrections, the calculation gives -939.6 meV/atom. The space-group type is R-3m. Its crystal system is trigonal. The uncorrected energy is -4.685 eV/atom.